[1]
An optimized crystal structure of LaTbC, computed with PBE.

ΔE to the lowest computed polymorph: 0.00 eV/f.u.

The structure in POSCAR format:
```
LaTbC
1.0
6.6679 0.0000 0.0000
0.0000 3.6443 0.0000
0.0000 -1.8221 3.1560
Tb La C
1 1 1
Cartesian
0.8581 0.0000 0.0000 Tb
3.6687 1.8221 1.0520 La
2.1411 0.0000 2.1040 C
```


[2]
An optimized crystal structure of LaTb2TlC, computed with PBE.

DFT total energy: -0.4053 Ry per atom

The structure in POSCAR format:
```
LaTb2TlC
1.0
5.1700 0.0000 0.0000
0.0000 5.0005 0.0000
0.0000 0.0000 5.0005
La C Tb Tl
1 1 2 1
Cartesian
2.5850 0.0000 0.0000 La
0.0000 0.0000 0.0000 C
0.0000 0.0000 2.5002 Tb
0.0000 2.5002 0.0000 Tb
2.5850 2.5002 2.5002 Tl
```